VASP calculation (PBE-GGA) on an optimized crystal structure of RbYSiO4.

Results
**D(E_F)**: 0.0 states/eV/f.u.
**Magnetization**: 0.0 μB per formula unit
**VASP energy**: -0.277 hartree per atom

abc: 5.616 5.730 7.655
angles: 90.00 107.16 90.00
Atoms (fractional coordinates):
Rb (0.693, 0.750, 0.930)
Rb (0.307, 0.250, 0.070)
Y (0.785, 0.750, 0.459)
Y (0.215, 0.250, 0.541)
Si (0.245, 0.750, 0.343)
Si (0.755, 0.250, 0.657)
O (0.950, 0.474, 0.677)
O (0.050, 0.974, 0.323)
O (0.050, 0.526, 0.323)
O (0.950, 0.026, 0.677)
O (0.425, 0.750, 0.210)
O (0.575, 0.250, 0.790)
O (0.435, 0.750, 0.554)
O (0.565, 0.250, 0.446)

***

VASP calculation (PBE-GGA) on an optimized crystal structure of RbYSi2O6.

Results
**D(E_F)**: 0.0 states/eV/f.u.
**Magnetization**: 0.0 μB per formula unit
**VASP energy**: -0.282 hartree per atom

abc: 7.215 7.215 5.515
angles: 98.52 98.52 87.66
Atoms (fractional coordinates):
Rb (0.179, 0.821, 0.250)
Rb (0.821, 0.179, 0.750)
Y (0.616, 0.384, 0.250)
Y (0.384, 0.616, 0.750)
Si (0.302, 0.140, 0.797)
Si (0.860, 0.698, 0.703)
Si (0.698, 0.860, 0.203)
Si (0.140, 0.302, 0.297)
O (0.925, 0.377, 0.246)
O (0.623, 0.075, 0.254)
O (0.075, 0.623, 0.754)
O (0.377, 0.925, 0.746)
O (0.178, 0.161, 0.035)
O (0.839, 0.822, 0.465)
O (0.822, 0.839, 0.965)
O (0.161, 0.178, 0.535)
O (0.314, 0.450, 0.362)
O (0.550, 0.686, 0.138)
O (0.686, 0.550, 0.638)
O (0.450, 0.314, 0.862)

***

VASP calculation (PBE-GGA) on an optimized crystal structure of RbSmO3.

Results
**D(E_F)**: 4.9 states/eV/f.u.
**Magnetization**: 2.0 μB per formula unit
**VASP energy**: -0.217 hartree per atom

abc: 4.621 4.621 4.621
angles: 90.00 90.00 90.00
Each line ends with the local moment (μB).
Atoms (fractional coordinates):
Rb (0.000, 0.000, 0.000)  0.00
Sm (0.500, 0.500, 0.500)  -0.05
O (0.500, 0.500, 0.000)  0.56
O (0.500, 0.000, 0.500)  0.56
O (0.000, 0.500, 0.500)  0.56

***

VASP calculation (PBE-GGA) on an optimized crystal structure of Rb3SmO3.

Results
**Energy relative to the lowest polymorph listed for this composition**: 0.0000 eV/atom
**Magnetization**: 0.0 μB per formula unit
**VASP energy**: -0.186 hartree per atom

abc: 7.945 7.945 7.894
angles: 119.81 119.81 53.13
Atoms (fractional coordinates):
Rb (0.220, 0.220, 0.471)
Rb (0.258, 0.742, 0.500)
Rb (0.742, 0.258, 0.500)
Rb (0.258, 0.742, 0.000)
Rb (0.742, 0.258, 0.000)
Rb (0.780, 0.780, 0.529)
Sm (0.213, 0.213, 0.963)
Sm (0.787, 0.787, 0.037)
O (0.026, 0.026, 0.776)
O (0.500, 0.000, 0.194)
O (0.000, 0.500, 0.194)
O (0.500, 0.000, 0.806)
O (0.000, 0.500, 0.806)
O (0.974, 0.974, 0.224)

***

VASP calculation (PBE-GGA) on an optimized crystal structure of Rb3SmO3.

Results
**Energy relative to the lowest polymorph listed for this composition**: 0.0124 eV/atom
**D(E_F)**: 0.0 states/eV/f.u.
**Magnetization**: 0.0 μB per formula unit
**VASP energy**: -0.186 hartree per atom

abc: 7.446 7.446 7.411
angles: 94.22 94.22 116.95
Atoms (fractional coordinates):
Rb (0.641, 0.641, 0.361)
Rb (0.212, 0.788, 0.500)
Rb (0.788, 0.212, 0.500)
Rb (0.259, 0.741, 0.000)
Rb (0.741, 0.259, 0.000)
Rb (0.359, 0.359, 0.639)
Sm (0.817, 0.817, 0.850)
Sm (0.183, 0.183, 0.150)
O (0.895, 0.895, 0.157)
O (0.824, 0.543, 0.732)
O (0.543, 0.824, 0.732)
O (0.176, 0.457, 0.268)
O (0.457, 0.176, 0.268)
O (0.105, 0.105, 0.843)

***

VASP calculation (PBE-GGA) on an optimized crystal structure of Rb3Sm2O4.

Results
**D(E_F)**: 1.3 states/eV/f.u.
**Magnetization**: 0.2 μB per formula unit
**VASP energy**: -0.207 hartree per atom

abc: 3.921 6.936 8.782
angles: 81.53 77.10 73.58
Atoms (fractional coordinates):
Rb (0.000, 0.000, 0.000)
Rb (0.203, 0.414, 0.179)
Rb (0.797, 0.586, 0.821)
Sm (0.611, 0.152, 0.626)
Sm (0.389, 0.848, 0.374)
O (0.810, 0.022, 0.357)
O (0.190, 0.978, 0.643)
O (0.435, 0.284, 0.846)
O (0.565, 0.716, 0.154)

***

VASP calculation (PBE-GGA) on an optimized crystal structure of Rb3Tb2SmO6.

Results
**D(E_F)**: 0.0 states/eV/f.u.
**Magnetization**: 0.0 μB per formula unit
**VASP energy**: -0.240 hartree per atom

abc: 6.167 6.167 6.892
angles: 98.58 98.58 120.00
Atoms (fractional coordinates):
Rb (0.167, 0.833, 0.500)
Rb (0.833, 0.167, 0.500)
Rb (0.500, 0.500, 0.500)
Tb (0.333, 0.667, 0.000)
Tb (0.667, 0.333, 0.000)
Sm (0.000, 0.000, 0.000)
O (0.941, 0.603, 0.823)
O (0.721, 0.721, 0.177)
O (0.059, 0.397, 0.177)
O (0.603, 0.941, 0.823)
O (0.279, 0.279, 0.823)
O (0.397, 0.059, 0.177)

***

VASP calculation (PBE-GGA) on an optimized crystal structure of RbSmTc2O8.

Results
**D(E_F)**: 7.2 states/eV/f.u.
**Magnetization**: 2.0 μB per formula unit
**VASP energy**: -0.273 hartree per atom

abc: 6.071 6.071 8.044
angles: 90.00 90.00 120.00
Each line ends with the local moment (μB).
Atoms (fractional coordinates):
Rb (0.000, 0.000, 0.000)  0.00
Sm (0.000, 0.000, 0.500)  0.07
Tc (0.667, 0.333, 0.245)  0.64
Tc (0.333, 0.667, 0.755)  0.64
O (0.333, 0.667, 0.972)  0.08
O (0.345, 0.169, 0.321)  0.04
O (0.831, 0.176, 0.321)  0.04
O (0.667, 0.333, 0.028)  0.08
O (0.169, 0.824, 0.679)  0.04
O (0.655, 0.831, 0.679)  0.04
O (0.176, 0.345, 0.679)  0.04
O (0.824, 0.655, 0.321)  0.04

***

VASP calculation (PBE-GGA) on an optimized crystal structure of Rb2SmTeO6.

Results
**D(E_F)**: 6.0 states/eV/f.u.
**Magnetization**: 1.0 μB per formula unit
**VASP energy**: -0.212 hartree per atom

abc: 6.077 6.077 8.594
angles: 90.00 90.00 90.00
Each line ends with the local moment (μB).
Atoms (fractional coordinates):
Rb (0.500, 0.750, 0.250)  0.00
Rb (0.000, 0.250, 0.750)  0.00
Rb (0.500, 0.750, 0.750)  0.00
Rb (0.000, 0.250, 0.250)  0.00
Sm (0.000, 0.750, 0.500)  -0.02
Sm (0.500, 0.250, 0.000)  -0.02
Te (0.500, 0.250, 0.500)  -0.02
Te (0.000, 0.750, 0.000)  -0.02
O (0.500, 0.250, 0.272)  0.15
O (0.500, 0.250, 0.728)  0.15
O (0.000, 0.750, 0.228)  0.15
O (0.000, 0.750, 0.772)  0.15
O (0.272, 0.022, 0.500)  0.15
O (0.728, 0.022, 0.500)  0.15
O (0.272, 0.477, 0.500)  0.15
O (0.728, 0.477, 0.500)  0.15
O (0.772, 0.523, 0.000)  0.15
O (0.228, 0.523, 0.000)  0.15
O (0.228, 0.978, 0.000)  0.15
O (0.772, 0.978, 0.000)  0.15

***

VASP calculation (PBE-GGA) on an optimized crystal structure of Rb2SmTe2O6.

Results
**D(E_F)**: 3.7 states/eV/f.u.
**Magnetization**: 0.6 μB per formula unit
**VASP energy**: -0.205 hartree per atom

abc: 6.311 6.218 8.611
angles: 106.70 90.00 120.49
Each line ends with the local moment (μB).
Atoms (fractional coordinates):
Rb (0.786, 0.572, 0.330)  0.00
Rb (0.214, 0.428, 0.670)  0.00
Sm (0.500, 0.000, 0.500)  0.01
Te (0.911, 0.823, 0.777)  0.05
Te (0.089, 0.177, 0.223)  0.05
O (0.725, 0.450, 0.657)  0.02
O (0.285, 0.103, 0.343)  0.02
O (0.182, 0.897, 0.657)  0.02
O (0.715, 0.897, 0.657)  0.02
O (0.818, 0.103, 0.343)  0.02
O (0.275, 0.550, 0.343)  0.02

***

VASP calculation (PBE-GGA) on an optimized crystal structure of Rb3SmTe2O9.

Results
**D(E_F)**: 5.7 states/eV/f.u.
**Magnetization**: 0.0 μB per formula unit
**VASP energy**: -0.203 hartree per atom

abc: 5.960 5.960 7.340
angles: 90.00 90.00 120.00
Atoms (fractional coordinates):
Rb (0.333, 0.667, 0.668)
Rb (0.000, 0.000, 0.000)
Rb (0.667, 0.333, 0.332)
Sm (0.000, 0.000, 0.500)
Te (0.333, 0.667, 0.166)
Te (0.667, 0.333, 0.834)
O (0.821, 0.179, 0.690)
O (0.821, 0.642, 0.690)
O (0.358, 0.179, 0.690)
O (0.642, 0.821, 0.310)
O (0.179, 0.358, 0.310)
O (0.179, 0.821, 0.310)
O (0.500, 0.000, 0.000)
O (0.000, 0.500, 0.000)
O (0.500, 0.500, 0.000)

***

VASP calculation (PBE-GGA) on an optimized crystal structure of Rb2SmTe3O12.

Results
**D(E_F)**: 12.0 states/eV/f.u.
**Magnetization**: 0.7 μB per formula unit
**VASP energy**: -0.207 hartree per atom

abc: 7.673 7.673 7.673
angles: 57.99 57.99 57.99
Each line ends with the local moment (μB).
Atoms (fractional coordinates):
Rb (0.619, 0.619, 0.619)  0.00
Rb (0.381, 0.381, 0.381)  0.00
Sm (0.000, 0.000, 0.000)  0.00
Te (0.500, 0.000, 0.000)  -0.01
Te (0.000, 0.500, 0.000)  -0.01
Te (0.000, 0.000, 0.500)  -0.01
O (0.313, 0.313, 0.914)  0.04
O (0.921, 0.921, 0.364)  0.06
O (0.364, 0.921, 0.921)  0.06
O (0.914, 0.313, 0.313)  0.04
O (0.921, 0.364, 0.921)  0.06
O (0.313, 0.914, 0.313)  0.04
O (0.687, 0.687, 0.086)  0.04
O (0.079, 0.079, 0.636)  0.06
O (0.636, 0.079, 0.079)  0.06
O (0.086, 0.687, 0.687)  0.04
O (0.079, 0.636, 0.079)  0.06
O (0.687, 0.086, 0.687)  0.04